VASP calculation (PBE-GGA) on crystalline Pr12Y7Sc at its relaxed geometry.

Lattice parameters (Å, degrees): 9.478 9.478 9.478 108.06 108.06 108.06
Fractional positions:
Pr: 0.070 0.804 0.280
Pr: 0.128 0.209 0.442
Pr: 0.196 0.720 0.930
Pr: 0.209 0.442 0.128
Pr: 0.280 0.070 0.804
Pr: 0.442 0.128 0.209
Pr: 0.558 0.872 0.791
Pr: 0.720 0.930 0.196
Pr: 0.791 0.558 0.872
Pr: 0.804 0.280 0.070
Pr: 0.872 0.791 0.558
Pr: 0.930 0.196 0.720
Y: 0.000 0.000 0.000
Y: 0.180 0.617 0.503
Y: 0.383 0.497 0.820
Y: 0.497 0.820 0.383
Y: 0.503 0.180 0.617
Y: 0.617 0.503 0.180
Y: 0.820 0.383 0.497
Sc: 0.500 0.500 0.500

Values from the calculation:
DOS at the Fermi energy: 32.1 states/eV/cell
ΔE_f: 146 meV per atom
theoretical density: 5.7 Mg/m³
E above lowest polymorph: 0 meV/atom